[1]
Entry from the Alexandria database: a geometry-optimized MgBe3Ge structure (PBE).

The structure in POSCAR format:
```
MgBe3Ge
1.0
4.459 0.000 0.000
0.000 4.459 0.000
0.000 0.000 4.459
Mg Be Ge
1 3 1
Cartesian
0.000 0.000 0.000
0.000 0.000 2.230
0.000 2.230 0.000
2.230 0.000 0.000
2.230 2.230 2.230
```

## Properties
**Formation energy**: 1512 meV per atom
**Crystal system**: cubic
**D(E_F)**: 2.083 states/eV/f.u.
**Space-group type**: No. 221

---

[2]
Entry from the Alexandria database: a geometry-optimized Er3CoRh structure (PBE).

The structure in POSCAR format:
```
Er3CoRh
1.0
6.617 0.000 0.000
3.304 5.746 0.000
3.301 1.919 6.221
Er Co Rh
6 2 2
Cartesian
2.325 1.954 1.505
4.429 2.043 4.717
5.420 3.916 1.508
7.803 3.749 4.713
8.793 5.622 1.505
10.898 5.711 4.716
6.608 5.749 6.044
6.614 1.916 0.177
6.610 5.750 3.234
6.612 1.915 2.987
```

## Properties
**Formation energy**: -418 meV per atom
**Crystal system**: triclinic
**D(E_F)**: 3.139 states/eV/f.u.
**Space-group type**: No. 2

---

[3]
Entry from the Alexandria database: a geometry-optimized LaPm6Ho3Er2 structure (PBE).

The structure in POSCAR format:
```
LaPm6Ho3Er2
1.0
3.126 -5.414 0.000
3.126 5.414 0.000
-2.082 0.000 11.726
La Pm Ho Er
1 6 3 2
Cartesian
0.000 0.000 0.000
1.050 1.812 2.960
0.006 0.000 8.764
1.050 -1.812 2.960
3.120 1.812 8.766
4.163 0.000 2.962
3.120 -1.812 8.766
2.085 3.604 5.863
2.085 0.000 5.863
2.085 -3.604 5.863
3.126 1.803 0.000
3.126 -1.803 0.000
```

## Properties
**Formation energy**: 19 meV per atom
**Crystal system**: monoclinic
**D(E_F)**: 15.340 states/eV/f.u.
**Space-group type**: No. 12

---

[4]
Entry from the Alexandria database: a geometry-optimized LaPuRu2 structure (PBE).

The structure in POSCAR format:
```
LaPuRu2
1.0
3.352 0.000 0.000
0.000 3.352 0.000
0.000 0.000 7.416
La Pu Ru
1 1 2
Cartesian
0.000 0.000 0.000
0.000 0.000 3.708
1.676 1.676 2.163
1.676 1.676 5.253
```

## Properties
**Formation energy**: -125 meV per atom
**Crystal system**: tetragonal
**D(E_F)**: 6.934 states/eV/f.u.
**Space-group type**: No. 123

---

[5]
Entry from the Alexandria database: a geometry-optimized TbTm3In3Te8 structure (PBE).

The structure in POSCAR format:
```
TbTm3In3Te8
1.0
4.356 2.515 7.870
-4.356 2.515 7.870
0.000 -5.030 7.870
Tb Tm In Te
1 3 3 8
Cartesian
0.000 0.000 0.000
-2.178 -1.258 7.870
-2.178 1.258 15.739
0.000 2.515 7.869
-4.356 0.000 11.804
-2.178 1.258 3.935
2.178 1.258 3.935
0.000 -2.472 9.631
-2.141 1.236 9.631
0.000 0.000 6.115
-2.141 -1.236 13.977
2.141 1.236 9.631
0.000 0.000 17.493
2.141 -1.236 13.977
0.000 2.472 13.977
```

## Properties
**Crystal system**: trigonal
**D(E_F)**: 5.296 states/eV/f.u.
**Total DFT energy (no corrections)**: -4.414 eV per atom
**Space-group type**: No. 166

---

[6]
Entry from the Alexandria database: a geometry-optimized Hf2TaTe6 structure (PBE).

The structure in POSCAR format:
```
Hf2TaTe6
1.0
7.008 0.000 0.000
0.000 7.268 0.000
-6.532 0.000 9.655
Hf Ta Te
4 2 12
Cartesian
-0.214 1.142 2.395
-3.481 2.492 7.223
3.956 4.776 2.432
0.690 6.126 7.260
-3.266 0.000 4.828
0.000 3.634 0.000
-5.420 1.150 8.956
-2.154 2.484 4.129
-4.137 4.892 8.949
-0.870 6.009 4.122
-1.970 0.119 7.294
1.296 3.515 2.467
-0.821 3.753 7.188
2.445 7.149 2.361
1.346 1.258 5.534
4.612 2.376 0.706
2.629 4.784 5.526
5.895 6.118 0.699
```

## Properties
**Crystal system**: monoclinic
**D(E_F)**: 5.147 states/eV/f.u.
**Total DFT energy (no corrections)**: -6.076 eV per atom
**Space-group type**: No. 14

---

[7]
Entry from the Alexandria database: a geometry-optimized CdIr3Ru structure (PBE).

The structure in POSCAR format:
```
CdIr3Ru
1.0
4.716 0.000 0.000
0.000 4.716 0.000
0.000 0.000 4.716
Cd Ir Ru
1 3 1
Cartesian
0.000 0.000 0.000
0.000 2.358 2.358
2.358 0.000 2.358
2.358 2.358 0.000
2.358 2.358 2.358
```

## Properties
**Formation energy**: 1595 meV per atom
**Crystal system**: cubic
**D(E_F)**: 6.058 states/eV/f.u.
**Space-group type**: No. 221

---

[8]
Entry from the Alexandria database: a geometry-optimized TbPm3Dy4 structure (PBE).

The structure in POSCAR format:
```
TbPm3Dy4
1.0
11.461 0.000 0.000
0.000 7.308 0.000
0.000 0.000 6.306
Tb Pm Dy
2 6 8
Cartesian
0.000 0.936 0.000
5.731 6.372 3.153
0.000 6.382 3.158
2.864 0.923 2.110
2.866 6.385 5.263
5.731 0.926 0.004
8.597 0.923 2.110
8.595 6.385 5.263
0.000 2.761 3.158
0.000 4.556 0.007
2.852 2.757 5.260
2.878 4.552 2.107
5.731 2.753 3.160
5.731 4.547 0.005
8.583 4.552 2.107
8.609 2.757 5.260
```

## Properties
**Formation energy**: 22 meV per atom
**Crystal system**: orthorhombic
**D(E_F)**: 14.118 states/eV/f.u.
**Space-group type**: No. 31

---

[9]
Entry from the Alexandria database: a geometry-optimized K2NaPb6 structure (PBE).

The structure in POSCAR format:
```
K2NaPb6
1.0
6.590 -3.427 0.000
6.590 3.427 0.000
-2.284 0.000 7.288
K Na Pb
2 1 6
Cartesian
1.065 0.000 2.508
9.831 0.000 4.780
5.448 0.000 3.644
4.332 1.759 1.167
6.564 1.759 6.121
3.238 0.000 6.110
7.657 0.000 1.179
4.332 -1.759 1.167
6.564 -1.759 6.121
```

## Properties
**Formation energy**: -116 meV per atom
**Crystal system**: monoclinic
**D(E_F)**: 1.984 states/eV/f.u.
**Space-group type**: No. 12

---

[10]
Entry from the Alexandria database: a geometry-optimized PmDyS structure (PBE).

The structure in POSCAR format:
```
PmDyS
1.0
1.927 1.112 13.020
-1.927 1.112 13.020
0.000 -2.225 13.020
Pm Dy S
2 2 2
Cartesian
0.000 0.000 8.098
0.000 0.000 30.962
0.000 0.000 1.695
0.000 0.000 37.366
0.000 0.000 16.213
0.000 0.000 22.847
```

## Properties
**Crystal system**: trigonal
**D(E_F)**: 2.052 states/eV/f.u.
**Total DFT energy (no corrections)**: -5.693 eV per atom
**Space-group type**: No. 166

---

[11]
Entry from the Alexandria database: a geometry-optimized Li2PBr structure (PBE).

The structure in POSCAR format:
```
Li2PBr
1.0
1.701 0.982 7.334
-1.701 0.982 7.334
0.000 -1.964 7.334
Li P Br
2 1 1
Cartesian
0.000 0.000 5.345
0.000 0.000 16.658
0.000 0.000 0.000
0.000 0.000 11.001
```

## Properties
**Crystal system**: trigonal
**D(E_F)**: 2.211 states/eV/f.u.
**Total DFT energy (no corrections)**: -3.316 eV per atom
**Space-group type**: No. 166

---

[12]
Entry from the Alexandria database: a geometry-optimized HoSi4 structure (PBE).

The structure in POSCAR format:
```
HoSi4
1.0
5.225 0.000 0.000
0.000 5.225 0.000
0.000 0.000 5.225
Ho Si
1 4
Cartesian
0.000 0.000 0.000
0.000 0.000 2.613
0.000 2.613 0.000
2.613 0.000 0.000
2.613 2.613 2.613
```

## Properties
**Crystal system**: cubic
**D(E_F)**: 3.666 states/eV/f.u.
**Total DFT energy (no corrections)**: -3.820 eV per atom
**Space-group type**: No. 221

---

[13]
Entry from the Alexandria database: a geometry-optimized PmTm2Ag2 structure (PBE).

The structure in POSCAR format:
```
PmTm2Ag2
1.0
3.613 0.000 0.000
0.000 5.297 0.000
-1.799 0.000 13.388
Pm Tm Ag
2 4 4
Cartesian
0.005 1.324 3.892
1.809 3.973 9.496
0.000 3.973 1.272
0.005 3.973 6.286
1.809 1.324 7.102
1.813 1.324 12.117
0.002 1.324 9.577
0.007 3.973 12.217
1.807 1.324 1.172
1.811 3.973 3.811
```

## Properties
**Formation energy**: -232 meV per atom
**Crystal system**: monoclinic
**D(E_F)**: 4.373 states/eV/f.u.
**Space-group type**: No. 11

---

[14]
Entry from the Alexandria database: a geometry-optimized K2TlCr structure (PBE).

The structure in POSCAR format:
```
K2TlCr
1.0
-4.877 4.877 3.106
4.877 -4.877 3.106
4.877 4.877 -3.106
K Tl Cr
4 2 2
Cartesian
7.316 2.300 -0.777
2.300 2.439 0.777
-2.439 2.577 2.330
2.577 2.439 3.883
4.877 0.000 1.553
0.000 0.000 3.106
0.000 0.000 0.000
0.000 4.877 1.553
```

## Properties
**Formation energy**: 657 meV per atom
**Crystal system**: tetragonal
**D(E_F)**: 2.221 states/eV/f.u.
**Space-group type**: No. 122

---

[15]
Entry from the Alexandria database: a geometry-optimized LiCuAs2 structure (PBE).

The structure in POSCAR format:
```
LiCuAs2
1.0
4.098 0.000 0.000
0.000 4.098 0.000
0.000 0.000 3.746
Li Cu As
1 1 2
Cartesian
0.000 0.000 0.000
2.049 2.049 0.000
0.000 2.049 1.873
2.049 0.000 1.873
```

## Properties
**Formation energy**: -106 meV per atom
**Crystal system**: tetragonal
**D(E_F)**: 1.363 states/eV/f.u.
**Space-group type**: No. 123

---

[16]
Entry from the Alexandria database: a geometry-optimized Ba2ReMo structure (PBE).

The structure in POSCAR format:
```
Ba2ReMo
1.0
3.514 0.000 0.000
0.000 3.514 0.000
0.000 0.000 9.404
Ba Re Mo
2 1 1
Cartesian
0.000 0.000 2.218
0.000 0.000 7.186
1.757 1.757 0.000
1.757 1.757 4.702
```

## Properties
**Formation energy**: 1729 meV per atom
**Crystal system**: tetragonal
**D(E_F)**: 4.171 states/eV/f.u.
**Space-group type**: No. 123

---

[17]
Entry from the Alexandria database: a geometry-optimized Nd4SbS3 structure (PBE).

The structure in POSCAR format:
```
Nd4SbS3
1.0
4.180 0.000 0.000
0.000 5.948 0.000
0.000 0.000 8.426
Nd Sb S
4 1 3
Cartesian
0.000 0.000 0.000
0.000 0.000 4.213
2.090 2.974 1.940
2.090 2.974 6.486
0.000 2.974 4.213
0.000 2.974 0.000
2.090 0.000 2.076
2.090 0.000 6.349
```

## Properties
**Crystal system**: orthorhombic
**D(E_F)**: 3.089 states/eV/f.u.
**Total DFT energy (no corrections)**: -6.203 eV per atom
**Space-group type**: No. 47

---

[18]
Entry from the Alexandria database: a geometry-optimized CsCaSeBr2 structure (PBE).

The structure in POSCAR format:
```
CsCaSeBr2
1.0
5.792 0.000 0.000
0.000 5.792 0.000
0.000 0.000 5.777
Cs Ca Se Br
1 1 1 2
Cartesian
0.000 0.000 0.000
2.896 2.896 2.889
2.896 2.896 0.000
0.000 2.896 2.889
2.896 0.000 2.889
```

## Properties
**Crystal system**: tetragonal
**D(E_F)**: 4.792 states/eV/f.u.
**Total DFT energy (no corrections)**: -3.423 eV per atom
**Space-group type**: No. 123

---

[19]
Entry from the Alexandria database: a geometry-optimized V2GaSi structure (PBE).

The structure in POSCAR format:
```
V2GaSi
1.0
-3.334 3.334 2.649
3.334 -3.334 2.649
3.334 3.334 -2.649
V Ga Si
4 2 2
Cartesian
5.001 1.581 -0.662
1.581 1.667 0.662
-1.667 1.753 1.987
1.753 1.667 3.311
3.334 0.000 1.324
0.000 0.000 2.649
0.000 0.000 0.000
0.000 3.334 1.324
```

## Properties
**Crystal system**: tetragonal
**D(E_F)**: 3.194 states/eV/f.u.
**Total DFT energy (no corrections)**: -6.566 eV per atom
**Space-group type**: No. 122

---

[20]
Entry from the Alexandria database: a geometry-optimized Cs2HfSeI6 structure (PBE).

The structure in POSCAR format:
```
Cs2HfSeI6
1.0
-4.670 4.670 5.621
4.670 -4.670 5.621
4.670 4.670 -5.621
Cs Hf Se I
2 1 1 6
Cartesian
4.670 0.000 2.810
0.000 4.670 2.810
0.000 0.000 0.000
0.000 0.000 5.621
2.023 2.023 0.000
2.647 -2.647 5.621
0.000 0.000 2.868
0.000 0.000 8.374
-2.647 2.647 5.621
2.647 2.647 5.621
```

## Properties
**Crystal system**: tetragonal
**D(E_F)**: 4.119 states/eV/f.u.
**Total DFT energy (no corrections)**: -3.323 eV per atom
**Space-group type**: No. 139